Here is crystalline Er2TmAl3CuGe2 at its relaxed geometry from OQMD. Energies are from PBE-GGA.

a b c (Å): 4.1410 6.9680 6.9680
angles (deg): 119.99 90.00 90.00
With the nearest neighbours (Å) after each atom.
Positions (direct):
Er (0.0000, 0.2015, 0.7985)  1 Cu 2.81, 4 Ge 2.97
Er (0.0000, 0.7985, 0.2015)  1 Cu 2.81, 4 Ge 2.97
Tm (0.0000, 0.6045, 0.6045)  1 Cu 2.81, 4 Ge 2.96
Al (0.5000, 0.2016, 0.4339)  2 Cu 2.63, 2 Ge 2.74-2.75, 2 Al 2.80-2.81
Al (0.5000, 0.4339, 0.2016)  2 Cu 2.63, 2 Ge 2.74-2.75, 2 Al 2.80-2.81
Al (0.5000, 0.9691, 0.9691)  2 Cu 2.63, 2 Ge 2.74, 2 Al 2.81
Cu (0.0000, 0.2017, 0.2017)  6 Al 2.63, 1 Tm 2.81, 2 Er 2.81
Ge (0.5000, 0.5349, 0.8680)  3 Al 2.74-2.75, 2 Tm 2.96, 4 Er 2.97
Ge (0.5000, 0.8680, 0.5349)  3 Al 2.74-2.75, 2 Tm 2.96, 4 Er 2.97

Calculated values
As for the total energy: -4.8519 eV/atom. As for the symmetry: Amm2.